# PBE La6Hg5Bi, relaxed
# DOS at the Fermi energy   14.334 states/eV per cell
# Calculated total energy   -0.12767 hartree per atom
data_La6Hg5Bi
_chemical_formula_sum 'La6 Hg5 Bi1'
_space_group_name_H-M_alt 'P 1'
_space_group_IT_number 1
_cell_length_a 9.664
_cell_length_b 9.664
_cell_length_c 5.562
_cell_angle_alpha 106.68
_cell_angle_beta 106.68
_cell_angle_gamma 47.76
loop_
_space_group_symop_operation_xyz
'x,y,z'
loop_
_atom_site_label
_atom_site_fract_x
_atom_site_fract_y
_atom_site_fract_z
_atom_site_occupancy
La1 0.083 0.583 0.333 1
La2 0.249 0.751 0.000 1
La3 0.417 0.917 0.667 1
La4 0.583 0.083 0.333 1
La5 0.751 0.249 0.000 1
La6 0.917 0.417 0.667 1
Hg1 0.000 0.000 0.500 1
Hg2 0.167 0.167 0.167 1
Hg3 0.325 0.325 0.826 1
Hg4 0.675 0.675 0.174 1
Hg5 0.833 0.833 0.833 1
Bi1 0.500 0.500 0.500 1